P:
DFT (SCAN) results for a PBEsol-optimized structure of Zr4Ag.

Cell: 5.675 5.675 7.711 Å, 126.87 126.87 32.79°
Fractional coordinates of all 5 atoms:
Zr: 0.087 0.087 0.384
Zr: 0.286 0.286 0.198
Zr: 0.714 0.714 0.802
Zr: 0.913 0.913 0.616
Ag: 0.500 0.500 0.000

Output
Space group: C2/m, No. 12
Calculated volume, Å³/cell: 104.9

Q:
DFT (SCAN) results for a PBEsol-optimized structure of Zr4Ag.

Cell: 5.426 5.426 5.426 Å, 98.24 98.24 135.50°
Fractional coordinates of all 5 atoms:
Zr: 0.110 0.694 0.804
Zr: 0.306 0.110 0.415
Zr: 0.694 0.890 0.585
Zr: 0.890 0.306 0.196
Ag: 0.500 0.500 0.000

Output
Space group: I4/m, No. 87
Calculated volume, Å³/cell: 103.6

The relative energies come out as P 0; Q 19, with values in meV per atom.

P:
DFT (SCAN) results for a PBEsol-optimized structure of Al.

Cell: 2.838 2.838 2.838 Å, 60.00 60.00 60.00°
Fractional coordinates of all 1 atoms:
Al: 0.000 0.000 0.000

Output
Space group: Fm-3m, No. 225
Calculated volume, Å³/cell: 16.2

Q:
DFT (SCAN) results for a PBEsol-optimized structure of Al.

Cell: 2.777 2.777 2.777 Å, 109.47 109.47 109.47°
Fractional coordinates of all 1 atoms:
Al: 0.000 0.000 0.000

Output
Space group: Im-3m, No. 229
Calculated volume, Å³/cell: 16.5

The relative energies come out as P 0; Q 83, with values in meV per atom.

P:
DFT (SCAN) results for a PBEsol-optimized structure of Al.

Cell: 5.104 5.104 5.104 Å, 90.00 90.00 90.00°
Fractional coordinates of all 8 atoms:
Al: 0.000 0.000 0.000
Al: 0.000 0.250 0.500
Al: 0.000 0.750 0.500
Al: 0.250 0.500 0.000
Al: 0.500 0.000 0.250
Al: 0.500 0.000 0.750
Al: 0.500 0.500 0.500
Al: 0.750 0.500 0.000

Output
Space group: Pm-3n, No. 223
Calculated volume, Å³/cell: 133.0

Q:
DFT (SCAN) results for a PBEsol-optimized structure of Al.

Cell: 7.869 7.869 2.771 Å, 90.00 90.00 120.00°
Fractional coordinates of all 9 atoms:
Al: 0.000 0.000 0.000
Al: 0.000 0.302 0.500
Al: 0.000 0.634 0.000
Al: 0.302 0.000 0.500
Al: 0.333 0.667 0.500
Al: 0.366 0.366 0.000
Al: 0.634 0.000 0.000
Al: 0.667 0.333 0.500
Al: 0.698 0.698 0.500

Output
Space group: P-62m, No. 189
Calculated volume, Å³/cell: 148.6

R:
DFT (SCAN) results for a PBEsol-optimized structure of Al.

Cell: 11.780 11.821 12.304 Å, 86.20 85.76 82.23°
Fractional coordinates of all 100 atoms:
Al: 0.000 0.000 0.000
Al: 0.000 0.617 0.885
Al: 0.017 0.402 0.078
Al: 0.024 0.469 0.479
Al: 0.028 0.878 0.394
Al: 0.035 0.109 0.335
Al: 0.048 0.802 0.135
Al: 0.060 0.999 0.772
Al: 0.064 0.637 0.299
Al: 0.068 0.217 0.658
Al: 0.076 0.554 0.680
Al: 0.099 0.035 0.541
Al: 0.104 0.386 0.856
Al: 0.123 0.188 0.028
Al: 0.124 0.790 0.917
Al: 0.140 0.672 0.497
Al: 0.148 0.418 0.254
Al: 0.148 0.592 0.069
Al: 0.157 0.252 0.440
Al: 0.159 0.988 0.163
Al: 0.189 0.757 0.699
Al: 0.213 0.169 0.812
Al: 0.225 0.789 0.289
Al: 0.231 0.351 0.637
Al: 0.236 0.570 0.850
Al: 0.237 0.183 0.225
Al: 0.239 0.973 0.940
Al: 0.252 0.371 0.045
Al: 0.255 0.855 0.489
Al: 0.261 0.465 0.434
Al: 0.284 0.962 0.692
Al: 0.290 0.775 0.071
Al: 0.307 0.578 0.232
Al: 0.319 0.555 0.632
Al: 0.330 0.055 0.481
Al: 0.350 0.158 0.982
Al: 0.353 0.348 0.832
Al: 0.357 0.968 0.277
Al: 0.358 0.776 0.847
Al: 0.382 0.346 0.243
Al: 0.384 0.653 0.428
Al: 0.385 0.555 0.015
Al: 0.394 0.153 0.664
Al: 0.395 0.257 0.454
Al: 0.427 0.761 0.626
Al: 0.444 0.939 0.056
Al: 0.458 0.986 0.824
Al: 0.463 0.747 0.223
Al: 0.471 0.561 0.799
Al: 0.475 0.355 0.630
Al: 0.476 0.129 0.162
Al: 0.489 0.332 0.036
Al: 0.503 0.439 0.404
Al: 0.503 0.844 0.420
Al: 0.527 0.723 0.997
Al: 0.539 0.513 0.189
Al: 0.542 0.073 0.362
Al: 0.543 0.970 0.592
Al: 0.558 0.555 0.583
Al: 0.577 0.126 0.946
Al: 0.591 0.337 0.828
Al: 0.596 0.761 0.772
Al: 0.617 0.283 0.229
Al: 0.618 0.133 0.723
Al: 0.622 0.898 0.215
Al: 0.627 0.194 0.503
Al: 0.627 0.502 0.976
Al: 0.629 0.629 0.371
Al: 0.653 0.898 0.922
Al: 0.672 0.749 0.560
Al: 0.690 0.673 0.152
Al: 0.704 0.528 0.759
Al: 0.709 0.339 0.630
Al: 0.716 0.082 0.129
Al: 0.728 0.921 0.414
Al: 0.729 0.380 0.391
Al: 0.734 0.274 0.996
Al: 0.752 0.924 0.689
Al: 0.764 0.676 0.928
Al: 0.779 0.432 0.149
Al: 0.788 0.153 0.332
Al: 0.793 0.529 0.539
Al: 0.801 0.058 0.898
Al: 0.822 0.860 0.062
Al: 0.844 0.776 0.274
Al: 0.853 0.148 0.697
Al: 0.853 0.681 0.706
Al: 0.858 0.550 0.319
Al: 0.861 0.445 0.920
Al: 0.867 0.035 0.513
Al: 0.902 0.711 0.481
Al: 0.906 0.844 0.845
Al: 0.909 0.201 0.125
Al: 0.910 0.263 0.503
Al: 0.912 0.983 0.221
Al: 0.915 0.401 0.701
Al: 0.915 0.623 0.102
Al: 0.950 0.330 0.292
Al: 0.954 0.217 0.876
Al: 0.986 0.848 0.623

Output
Space group: P1, No. 1
Calculated volume, Å³/cell: 1690.1

The relative energies come out as P 15; Q 0; R 33, with values in meV per atom.

P:
DFT (SCAN) results for a PBEsol-optimized structure of Al.

Cell: 2.821 2.821 4.720 Å, 90.00 90.00 120.00°
Fractional coordinates of all 2 atoms:
Al: 0.333 0.667 0.250
Al: 0.667 0.333 0.750

Output
Space group: P6_3/mmc, No. 194
Calculated volume, Å³/cell: 32.5

Q:
DFT (SCAN) results for a PBEsol-optimized structure of Al.

Cell: 2.812 2.812 2.806 Å, 104.18 104.18 120.45°
Fractional coordinates of all 1 atoms:
Al: 0.000 0.000 0.000

Output
Space group: C2/m, No. 12
Calculated volume, Å³/cell: 16.6

The relative energies come out as P 0; Q 42, with values in meV per atom.

P:
DFT (SCAN) results for a PBEsol-optimized structure of AlAsAu2.

Cell: 4.328 4.328 5.624 Å, 102.96 102.96 43.41°
Fractional coordinates of all 4 atoms:
Al: 0.000 0.000 0.000
As: 0.500 0.500 0.500
Au: 0.258 0.258 0.773
Au: 0.742 0.742 0.227

Output
Space group: C2/m, No. 12
Calculated volume, Å³/cell: 70.2

Q:
DFT (SCAN) results for a PBEsol-optimized structure of AlAsAu2.

Cell: 5.582 5.582 5.582 Å, 151.05 122.76 65.40°
Fractional coordinates of all 4 atoms:
Al: 0.000 0.000 0.000
As: 0.500 0.500 0.000
Au: 0.233 0.733 0.500
Au: 0.767 0.267 0.500

Output
Space group: Immm, No. 71
Calculated volume, Å³/cell: 70.1

The relative energies come out as P 0; Q 126, with values in meV per atom.

P:
DFT (SCAN) results for a PBEsol-optimized structure of AlCd2As.

Cell: 5.202 5.202 5.202 Å, 130.74 130.74 72.22°
Fractional coordinates of all 4 atoms:
Al: 0.000 0.000 0.000
Cd: 0.250 0.750 0.500
Cd: 0.500 0.500 0.000
As: 0.750 0.250 0.500

Output
Space group: I-4m2, No. 119
Calculated volume, Å³/cell: 79.0

Q:
DFT (SCAN) results for a PBEsol-optimized structure of AlCd2As.

Cell: 2.899 5.536 5.020 Å, 90.00 94.58 90.00°
Fractional coordinates of all 4 atoms:
Al: 0.000 0.000 0.000
Cd: 0.261 0.500 0.248
Cd: 0.739 0.500 0.752
As: 0.500 0.000 0.500

Output
Space group: P2/m, No. 10
Calculated volume, Å³/cell: 80.3

The relative energies come out as P 27; Q 0, with values in meV per atom.

P:
DFT (SCAN) results for a PBEsol-optimized structure of AlAs2Cl.

Cell: 4.927 4.927 3.012 Å, 90.00 90.00 90.00°
Fractional coordinates of all 4 atoms:
Al: 0.000 0.000 0.000
As: 0.000 0.500 0.500
As: 0.500 0.000 0.500
Cl: 0.500 0.500 0.000

Output
Space group: P4/mmm, No. 123
Calculated volume, Å³/cell: 73.1

Q:
DFT (SCAN) results for a PBEsol-optimized structure of AlAs2Cl.

Cell: 3.119 3.393 7.087 Å, 90.00 90.00 90.00°
Fractional coordinates of all 4 atoms:
Al: 0.000 0.000 0.000
As: 0.500 0.500 0.200
As: 0.500 0.500 0.800
Cl: 0.000 0.000 0.500

Output
Space group: Pmmm, No. 47
Calculated volume, Å³/cell: 75.0

R:
DFT (SCAN) results for a PBEsol-optimized structure of AlAs2Cl.

Cell: 5.676 5.676 5.439 Å, 104.30 104.30 30.22°
Fractional coordinates of all 4 atoms:
Al: 0.000 0.000 0.000
As: 0.484 0.484 0.587
As: 0.650 0.650 0.364
Cl: 0.329 0.329 0.983

Output
Space group: Cm, No. 8
Calculated volume, Å³/cell: 85.3

The relative energies come out as P 640; Q 295; R 0, with values in meV per atom.

P:
DFT (SCAN) results for a PBEsol-optimized structure of AlHgAs2.

Cell: 5.292 5.292 3.123 Å, 98.50 98.50 112.80°
Fractional coordinates of all 4 atoms:
Al: 0.000 0.000 0.000
Hg: 0.500 0.500 0.000
As: 0.000 0.500 0.500
As: 0.500 0.000 0.500

Output
Space group: C2/m, No. 12
Calculated volume, Å³/cell: 77.7

Q:
DFT (SCAN) results for a PBEsol-optimized structure of AlHgAs2.

Cell: 4.267 3.713 5.655 Å, 90.00 111.12 90.00°
Fractional coordinates of all 4 atoms:
Al: 0.000 0.000 0.000
Hg: 0.500 0.000 0.500
As: 0.256 0.500 0.802
As: 0.744 0.500 0.198

Output
Space group: P2/m, No. 10
Calculated volume, Å³/cell: 83.6

R:
DFT (SCAN) results for a PBEsol-optimized structure of AlHgAs2.

Cell: 4.588 4.588 3.659 Å, 90.00 90.00 90.00°
Fractional coordinates of all 4 atoms:
Al: 0.000 0.000 0.000
Hg: 0.500 0.500 0.000
As: 0.000 0.500 0.500
As: 0.500 0.000 0.500

Output
Space group: P4/mmm, No. 123
Calculated volume, Å³/cell: 77.0

The relative energies come out as P 313; Q 0; R 346, with values in meV per atom.